[1]
# Pm8Er2Sn (PBE-GGA, relaxed)
# DOS at the Fermi energy (states/eV/atom): 1.410
# Magnetization (μB/f.u.): 0.00
# Formation enthalpy at 0 K (eV per atom): -0.12
# Calculated density (Mg/m³): 7.56
# Energy (eV/atom): -4.767
data_Pm8Er2Sn
_space_group_name_H-M_alt 'P 1'
_space_group_IT_number 1
_cell_length_a 4.985
_cell_length_b 8.065
_cell_length_c 9.478
_cell_angle_alpha 104.98
_cell_angle_beta 105.25
_cell_angle_gamma 90.00
loop_
_space_group_symop_operation_xyz
'x,y,z'
loop_
_atom_site_label
_atom_site_fract_x
_atom_site_fract_y
_atom_site_fract_z
Pm1 0.137 0.179 0.274
Pm2 0.863 0.821 0.726
Pm3 0.322 0.093 0.644
Er1 0.776 0.368 0.552
Pm4 0.410 0.559 0.820
Pm5 0.590 0.441 0.180
Pm6 0.957 0.268 0.913
Er2 0.224 0.632 0.448
Pm7 0.043 0.732 0.087
Sn1 0.500 0.000 0.000
Pm8 0.678 0.907 0.356

=====

[2]
# Pm6ErSn3 (PBE-GGA, relaxed)
# DOS at the Fermi energy (states/eV/atom): 1.361
# Magnetization (μB/f.u.): 0.00
# Formation enthalpy at 0 K (eV per atom): -0.36
# Calculated density (Mg/m³): 7.06
# Energy (eV/atom): -4.866
data_Pm6ErSn3
_space_group_name_H-M_alt 'P 1'
_space_group_IT_number 1
_cell_length_a 7.719
_cell_length_b 9.464
_cell_length_c 9.464
_cell_angle_alpha 108.66
_cell_angle_beta 90.00
_cell_angle_gamma 90.00
loop_
_space_group_symop_operation_xyz
'x,y,z'
loop_
_atom_site_label
_atom_site_fract_x
_atom_site_fract_y
_atom_site_fract_z
Pm1 0.288 0.065 0.458
Pm2 0.607 0.673 0.747
Sn1 0.311 0.422 0.578
Sn2 0.434 0.264 0.020
Sn3 0.434 0.980 0.736
Pm3 0.607 0.253 0.327
Pm4 0.133 0.714 0.286
Pm5 0.107 0.327 0.253
Pm6 0.279 0.952 0.048
Pm7 0.107 0.747 0.673
Pm8 0.633 0.286 0.714
Sn4 0.934 0.736 0.980
Pm9 0.779 0.048 0.952
Pm10 0.788 0.458 0.065
Pm11 0.288 0.542 0.935
Er1 0.104 0.201 0.799
Er2 0.604 0.799 0.201
Pm12 0.788 0.935 0.542
Sn5 0.934 0.020 0.264
Sn6 0.811 0.578 0.422

=====

[3]
# Pm2ErSn (PBE-GGA, relaxed)
# Offset from the most stable computed form (eV per atom): 0.168
# DOS at the Fermi energy (states/eV/atom): 1.647
# Magnetization (μB/f.u.): 0.00
# Formation enthalpy at 0 K (eV per atom): -0.26
# Calculated density (Mg/m³): 8.18
# Energy (eV/atom): -4.779
data_Pm2ErSn
_space_group_name_H-M_alt 'P 1'
_space_group_IT_number 1
_cell_length_a 5.489
_cell_length_b 5.489
_cell_length_c 5.489
_cell_angle_alpha 60.00
_cell_angle_beta 60.00
_cell_angle_gamma 60.00
loop_
_space_group_symop_operation_xyz
'x,y,z'
loop_
_atom_site_label
_atom_site_fract_x
_atom_site_fract_y
_atom_site_fract_z
Pm1 0.250 0.250 0.250
Pm2 0.750 0.750 0.750
Sn1 0.500 0.500 0.500
Er1 0.000 0.000 0.000

=====

[4]
# Pm3ErSn3 (PBE-GGA, relaxed)
# DOS at the Fermi energy (states/eV/atom): 1.132
# Magnetization (μB/f.u.): 0.02
# Formation enthalpy at 0 K (eV per atom): -0.57
# Calculated density (Mg/m³): 6.92
# Energy (eV/atom): -4.970
data_Pm3ErSn3
_space_group_name_H-M_alt 'P 1'
_space_group_IT_number 1
_cell_length_a 9.254
_cell_length_b 9.254
_cell_length_c 8.185
_cell_angle_alpha 55.57
_cell_angle_beta 55.57
_cell_angle_gamma 60.00
loop_
_space_group_symop_operation_xyz
'x,y,z'
loop_
_atom_site_label
_atom_site_fract_x
_atom_site_fract_y
_atom_site_fract_z
Pm1 0.099 0.348 0.726
Pm2 0.348 0.827 0.726
Pm3 0.652 0.173 0.274
Sn1 0.535 0.929 0.221
Pm4 0.173 0.901 0.274
Sn2 0.929 0.315 0.221
Sn3 0.071 0.685 0.779
Pm5 0.901 0.652 0.274
Sn4 0.465 0.071 0.779
Er1 0.333 0.333 0.002
Er2 0.667 0.667 0.998
Pm6 0.827 0.099 0.726
Sn5 0.315 0.535 0.221
Sn6 0.685 0.465 0.779